No. 1
VASP calculation (GGA-PBE) on crystalline Y2TlSBr at its relaxed geometry.

## Properties
final energy	-4.243	eV per atom
energy relative to the elements, uncorrected	-0.024	eV per atom
symmetry	No. 123

a b c (Å): 5.401 5.401 5.113
angles (deg): 90.00 90.00 90.00
Fractional positions:
Y 0.000 0.500 0.000
Y 0.500 0.000 0.000
Tl 0.000 0.000 0.500
S 0.500 0.500 0.500
Br 0.500 0.500 0.000


No. 2
VASP calculation (GGA-PBE) on crystalline HoHg3Pd4 at its relaxed geometry.

## Properties
formation enthalpy at 0 K	-0.45	eV/atom
final energy	-3.736	eV per atom
symmetry	No. 12

a b c (Å): 8.409 8.409 4.358
angles (deg): 104.92 104.92 30.04
Fractional positions:
Ho 0.000 0.000 0.000
Hg 0.251 0.251 0.252
Hg 0.500 0.500 0.500
Hg 0.749 0.749 0.748
Pd 0.124 0.124 0.624
Pd 0.376 0.376 0.876
Pd 0.624 0.624 0.124
Pd 0.876 0.876 0.376


No. 3
VASP calculation (GGA-PBE) on crystalline CsBiTeF at its relaxed geometry.

## Properties
E above lowest polymorph	0.267	kcal/mol of atoms
final energy	-3.675	eV per atom
energy relative to the elements, uncorrected	-1.238	eV per atom
symmetry	No. 8

a b c (Å): 8.673 8.673 4.073
angles (deg): 102.48 102.48 27.16
Fractional positions:
Cs 0.000 0.000 0.000
Bi 0.716 0.716 0.745
Te 0.293 0.293 0.315
F 0.548 0.548 0.540


No. 4
VASP calculation (GGA-PBE) on crystalline Tl2InSiS4 at its relaxed geometry.

## Properties
final energy	-4.154	eV per atom
energy relative to the elements, uncorrected	-0.479	eV per atom
symmetry	No. 1

a b c (Å): 6.445 6.446 6.647
angles (deg): 106.51 117.97 102.76
Fractional positions:
Tl 0.000 0.000 0.000
Tl 0.285 0.785 0.500
In 0.603 0.603 0.999
Si 0.786 0.286 0.500
S 0.132 0.569 0.848
S 0.471 0.322 0.518
S 0.724 0.287 0.153
S 0.803 0.952 0.481


No. 5
VASP calculation (GGA-PBE) on crystalline Tl2In3Hg2 at its relaxed geometry.

## Properties
formation enthalpy at 0 K	0.03	eV/atom
final energy	-1.911	eV per atom
symmetry	No. 12

a b c (Å): 6.527 6.527 8.221
angles (deg): 113.34 113.34 39.77
Fractional positions:
Tl 0.145 0.145 0.310
Tl 0.855 0.855 0.690
In 0.398 0.398 0.061
In 0.500 0.500 0.500
In 0.602 0.602 0.939
Hg 0.165 0.165 0.734
Hg 0.835 0.835 0.266


No. 6
VASP calculation (GGA-PBE) on crystalline Y12Tm5Sc at its relaxed geometry.

## Properties
formation enthalpy at 0 K	0.02	eV/atom
final energy	-5.879	eV per atom
symmetry	No. 12

a b c (Å): 6.146 6.146 17.286
angles (deg): 93.39 93.39 120.00
Fractional positions:
Y 0.054 0.385 0.164
Y 0.111 0.111 0.333
Y 0.223 0.556 0.668
Y 0.276 0.276 0.836
Y 0.385 0.054 0.164
Y 0.444 0.777 0.332
Y 0.556 0.223 0.668
Y 0.615 0.946 0.836
Y 0.724 0.724 0.164
Y 0.777 0.444 0.332
Y 0.889 0.889 0.667
Y 0.946 0.615 0.836
Tm 0.167 0.833 0.500
Tm 0.333 0.667 0.000
Tm 0.500 0.500 0.500
Tm 0.667 0.333 0.000
Tm 0.833 0.167 0.500
Sc 0.000 0.000 0.000


No. 7
VASP calculation (GGA-PBE) on crystalline CuOsBr at its relaxed geometry.

## Properties
E above lowest polymorph	0.000	kcal/mol of atoms
final energy	-4.748	eV per atom
energy relative to the elements, uncorrected	0.918	eV per atom
symmetry	No. 156

a b c (Å): 2.998 2.998 6.256
angles (deg): 90.00 90.00 120.00
Fractional positions:
Cu 0.000 0.000 0.000
Os 0.333 0.667 0.304
Br 0.667 0.333 0.630


No. 8
VASP calculation (GGA-PBE) on crystalline PuThCuAu at its relaxed geometry.

## Properties
formation enthalpy at 0 K	-0.19	eV/atom
final energy	-7.476	eV per atom
symmetry	No. 216

a b c (Å): 5.121 5.121 5.121
angles (deg): 60.00 60.00 60.00
Fractional positions:
Pu 0.000 0.000 0.000
Th 0.500 0.500 0.500
Cu 0.750 0.750 0.750
Au 0.250 0.250 0.250


Look up the final energy of the fourth one. -4.154 eV per atom


What is the final energy in the second record? -3.736 eV per atom


Look up the final energy of the first one. -4.243 eV per atom


Copy entry 7 word for word.
VASP calculation (GGA-PBE) on crystalline CuOsBr at its relaxed geometry.

## Properties
E above lowest polymorph	0.000	kcal/mol of atoms
final energy	-4.748	eV per atom
energy relative to the elements, uncorrected	0.918	eV per atom
symmetry	No. 156

a b c (Å): 2.998 2.998 6.256
angles (deg): 90.00 90.00 120.00
Fractional positions:
Cu 0.000 0.000 0.000
Os 0.333 0.667 0.304
Br 0.667 0.333 0.630